Compound: Nb4CdC3
Source: the Open Quantum Materials Database
Functional: GGA-PBE
Structure: relaxed

Cell and atoms, written as POSCAR:
```
Nb4CdC3
1.0
3.1674 0.0000 0.0000
-1.5837 2.7431 0.0000
0.0000 0.0000 25.1817
C Cd Nb
6 2 8
direct
0.0000 0.0000 0.0000 C
0.6667 0.3333 0.1058 C
0.6667 0.3333 0.3942 C
0.0000 0.0000 0.5000 C
0.3333 0.6667 0.6058 C
0.3333 0.6667 0.8942 C
0.3333 0.6667 0.2500 Cd
0.6667 0.3333 0.7500 Cd
0.3333 0.6667 0.0532 Nb
0.0000 0.0000 0.1517 Nb
0.0000 0.0000 0.3483 Nb
0.3333 0.6667 0.4468 Nb
0.6667 0.3333 0.5532 Nb
0.0000 0.0000 0.6517 Nb
0.0000 0.0000 0.8483 Nb
0.6667 0.3333 0.9468 Nb
```

space-group type: P6_3/mmc (194)
mass density: 7.9 g/cm³
total moment: 0.0002 μB per atom
raw total energy: -72.41 eV/f.u.

Compound: NbCd2C
Source: the Open Quantum Materials Database
Functional: GGA-PBE
Structure: relaxed

Cell and atoms, written as POSCAR:
```
NbCd2C
1.0
-0.4887 -1.9516 -2.2781
2.7193 0.1060 1.3533
-5.0629 -11.6753 11.0882
C Cd Nb
2 4 2
direct
0.0000 0.0000 0.0000 C
0.0000 0.0000 0.5000 C
0.3333 0.6667 0.0991 Cd
0.3333 0.6667 0.4009 Cd
0.6667 0.3333 0.5991 Cd
0.6667 0.3333 0.9009 Cd
0.6667 0.3333 0.2500 Nb
0.3333 0.6667 0.7500 Nb
```

space-group type: P6_3/mmc (194)
mass density: 8.1 g/cm³
total moment: 0.0008 μB per atom
raw total energy: -16.32 eV/f.u.

Compound: Nb3CdC2
Source: the Open Quantum Materials Database
Functional: GGA-PBE
Structure: relaxed

Cell and atoms, written as POSCAR:
```
Nb3CdC2
1.0
3.1958 0.0000 0.0000
-1.5979 2.7677 0.0000
0.0000 0.0000 19.7329
C Cd Nb
4 2 6
direct
0.3333 0.6667 0.0684 C
0.3333 0.6667 0.4316 C
0.6667 0.3333 0.5684 C
0.6667 0.3333 0.9316 C
0.0000 0.0000 0.2500 Cd
0.0000 0.0000 0.7500 Cd
0.0000 0.0000 0.0000 Nb
0.6667 0.3333 0.1248 Nb
0.6667 0.3333 0.3752 Nb
0.0000 0.0000 0.5000 Nb
0.3333 0.6667 0.6248 Nb
0.3333 0.6667 0.8752 Nb
```

space-group type: P6_3/mmc (194)
mass density: 7.9 g/cm³
total moment: 0.0003 μB per atom
raw total energy: -51.95 eV/f.u.